(1)
VASP calculation (PBE-GGA) on crystalline La3Y2Pb4 at its relaxed geometry.

* space-group type: C2/m, No. 12
* E_tot: -5.22 eV per atom
* crystal system: monoclinic

Cell: 7.391 7.391 10.249 Å, 115.93 115.93 37.41°
Sites, in units of the cell vectors:
1 La 0.000 0.000 0.000
2 La 0.375 0.375 0.302
3 La 0.625 0.625 0.698
4 Y 0.320 0.320 0.652
5 Y 0.680 0.680 0.348
6 Pb 0.069 0.069 0.409
7 Pb 0.302 0.302 0.940
8 Pb 0.698 0.698 0.060
9 Pb 0.931 0.931 0.591

(2)
VASP calculation (PBE-GGA) on crystalline La12Y3Pb5 at its relaxed geometry.

* space-group type: Ia-3d, No. 230
* E_tot: -4.56 eV per atom
* crystal system: cubic

Cell: 16.600 16.600 16.600 Å, 109.47 109.47 109.47°
Sites, in units of the cell vectors:
1 La 0.053 0.223 0.123
2 La 0.053 0.329 0.930
3 La 0.070 0.623 0.399
4 La 0.070 0.947 0.671
5 La 0.101 0.723 0.671
6 La 0.101 0.877 0.430
7 La 0.123 0.053 0.223
8 La 0.123 0.570 0.899
9 La 0.171 0.223 0.601
10 La 0.171 0.447 0.570
11 La 0.223 0.123 0.053
12 La 0.223 0.601 0.171
13 La 0.277 0.329 0.899
14 La 0.277 0.447 0.377
15 La 0.329 0.899 0.277
16 La 0.329 0.930 0.053
17 La 0.377 0.277 0.447
18 La 0.377 0.601 0.930
19 La 0.399 0.070 0.623
20 La 0.399 0.829 0.777
21 La 0.430 0.101 0.877
22 La 0.430 0.829 0.553
23 La 0.447 0.377 0.277
24 La 0.447 0.570 0.171
25 La 0.553 0.430 0.829
26 La 0.553 0.623 0.723
27 La 0.570 0.171 0.447
28 La 0.570 0.899 0.123
29 La 0.601 0.171 0.223
30 La 0.601 0.930 0.377
31 La 0.623 0.399 0.070
32 La 0.623 0.723 0.553
33 La 0.671 0.070 0.947
34 La 0.671 0.101 0.723
35 La 0.723 0.553 0.623
36 La 0.723 0.671 0.101
37 La 0.777 0.399 0.829
38 La 0.777 0.877 0.947
39 La 0.829 0.553 0.430
40 La 0.829 0.777 0.399
41 La 0.877 0.430 0.101
42 La 0.877 0.947 0.777
43 La 0.899 0.123 0.570
44 La 0.899 0.277 0.329
45 La 0.930 0.053 0.329
46 La 0.930 0.377 0.601
47 La 0.947 0.671 0.070
48 La 0.947 0.777 0.877
49 Y 0.125 0.250 0.375
50 Y 0.125 0.375 0.750
51 Y 0.250 0.375 0.125
52 Y 0.250 0.875 0.625
53 Y 0.375 0.125 0.250
54 Y 0.375 0.750 0.125
55 Y 0.625 0.250 0.875
56 Y 0.625 0.875 0.750
57 Y 0.750 0.125 0.375
58 Y 0.750 0.625 0.875
59 Y 0.875 0.625 0.250
60 Y 0.875 0.750 0.625
61 Pb 0.000 0.000 0.000
62 Pb 0.000 0.000 0.500
63 Pb 0.000 0.500 0.000
64 Pb 0.000 0.500 0.500
65 Pb 0.125 0.750 0.875
66 Pb 0.125 0.875 0.250
67 Pb 0.250 0.125 0.875
68 Pb 0.250 0.625 0.375
69 Pb 0.375 0.250 0.625
70 Pb 0.375 0.625 0.750
71 Pb 0.500 0.000 0.000
72 Pb 0.500 0.000 0.500
73 Pb 0.500 0.500 0.000
74 Pb 0.500 0.500 0.500
75 Pb 0.625 0.375 0.250
76 Pb 0.625 0.750 0.375
77 Pb 0.750 0.375 0.625
78 Pb 0.750 0.875 0.125
79 Pb 0.875 0.125 0.750
80 Pb 0.875 0.250 0.125

(3)
VASP calculation (PBE-GGA) on crystalline LaY2Pb at its relaxed geometry.

* space-group type: P4/mmm, No. 123
* E_tot: -5.61 eV per atom
* crystal system: tetragonal

Cell: 3.675 3.675 9.373 Å, 90.00 90.00 90.00°
Sites, in units of the cell vectors:
1 La 0.000 0.000 0.000
2 Y 0.500 0.500 0.274
3 Y 0.500 0.500 0.726
4 Pb 0.000 0.000 0.500

no.,formation enthalpy at 0 K (eV per atom)
1,-0.49
2,0.30
3,-0.22